No. 1
BaCuPt2 | SCAN | single point on PBEsol structure

Calculated values
electronic total energy: -194.9 eV/cell
energy of formation: 19 kJ/mol of formula units
Fermi-level density of states: 1.04 states/eV/f.u.
E above lowest polymorph: 624.3 meV/atom
V: 76 Å³ per cell

Cell: 4.202 4.202 4.305 Å, 90.00 90.00 90.00°
Fractional coordinates of all 4 atoms:
1 Ba 0.500 0.500 0.500
2 Pt 0.500 0.000 0.000
3 Pt 0.000 0.500 0.000
4 Cu 0.000 0.000 0.500

=====

No. 2
NdP2 | SCAN | single point on PBEsol structure

Calculated values
electronic total energy: -271.6 eV/cell
energy of formation: -340 kJ/mol of formula units
Fermi-level density of states: 0.14 states/eV/f.u.
V: 248 Å³ per cell

Cell: 3.954 6.481 9.754 Å, 90.00 97.22 90.00°
Fractional coordinates of all 12 atoms:
1 P 0.203 0.838 0.164
2 P 0.343 0.879 0.547
3 P 0.843 0.621 0.047
4 P 0.657 0.121 0.453
5 P 0.157 0.379 0.953
6 P 0.797 0.162 0.836
7 P 0.703 0.662 0.664
8 P 0.297 0.338 0.336
9 Nd 0.721 0.182 0.141
10 Nd 0.279 0.818 0.859
11 Nd 0.779 0.682 0.359
12 Nd 0.221 0.318 0.641

=====

No. 3
Be2HgBr | SCAN | single point on PBEsol structure

Calculated values
electronic total energy: -91.6 eV/cell
Fermi-level density of states: 2.43 states/eV/f.u.
E above lowest polymorph: 731.0 meV/atom
V: 77 Å³ per cell

Cell: 4.774 4.774 4.774 Å, 60.00 60.00 60.00°
Fractional coordinates of all 4 atoms:
1 Br 0.500 0.500 0.500
2 Hg 0.250 0.250 0.250
3 Be 0.000 0.000 0.000
4 Be 0.750 0.750 0.750

=====

No. 4
Cr2TcP | SCAN | single point on PBEsol structure

Calculated values
electronic total energy: -82.0 eV/cell
energy of formation: 18 kJ/mol of formula units
Fermi-level density of states: 3.85 states/eV/f.u.
V: 48 Å³ per cell

Cell: 2.742 4.415 4.415 Å, 115.65 90.00 90.00°
Fractional coordinates of all 4 atoms:
1 Cr 0.000 0.000 0.500
2 Cr 0.000 0.500 0.000
3 P 0.500 0.000 0.000
4 Tc 0.500 0.500 0.500

=====

No. 5
ReHgBr2 | SCAN | single point on PBEsol structure

Calculated values
electronic total energy: -176.7 eV/cell
Fermi-level density of states: 1.78 states/eV/f.u.
E above lowest polymorph: 0.0 meV/atom
V: 102 Å³ per cell

Cell: 3.114 5.409 6.918 Å, 113.29 90.00 106.73°
Last column: magnetic moment on the atom in μB.
Fractional coordinates of all 4 atoms:
1 Hg 0.435 0.870 0.375  0.04
2 Br 0.270 0.540 0.690  0.03
3 Br 0.097 0.193 0.060  0.03
4 Re 0.698 0.397 0.375  0.99

=====

No. 6
Li3Ni | SCAN | single point on PBEsol structure

Calculated values
electronic total energy: -22.9 eV/cell
energy of formation: 39 kJ/mol of formula units
Fermi-level density of states: 2.17 states/eV/f.u.
V: 56 Å³ per cell

Cell: 2.584 2.584 8.418 Å, 90.00 90.00 90.00°
Fractional coordinates of all 4 atoms:
1 Li 0.000 0.000 0.706
2 Li 0.000 0.000 0.294
3 Li 0.500 0.500 0.000
4 Ni 0.500 0.500 0.500

=====

No. 7
K2TlS | SCAN | single point on PBEsol structure

Calculated values
electronic total energy: -100.6 eV/cell
Fermi-level density of states: 2.21 states/eV/f.u.
V: 120 Å³ per cell

Cell: 5.543 5.543 5.543 Å, 60.00 60.00 60.00°
Fractional coordinates of all 4 atoms:
1 K 0.750 0.750 0.750
2 K 0.250 0.250 0.250
3 S 0.000 0.000 0.000
4 Tl 0.500 0.500 0.500

=====

No. 8
NbCuP3 | SCAN | single point on PBEsol structure

Calculated values
electronic total energy: -75.2 eV/cell
energy of formation: 421 kJ/mol of formula units
Fermi-level density of states: 3.79 states/eV/f.u.
E above lowest polymorph: 102.3 meV/atom
V: 82 Å³ per cell

Cell: 4.347 4.347 4.347 Å, 90.00 90.00 90.00°
Last column: magnetic moment on the atom in μB.
Fractional coordinates of all 5 atoms:
1 Nb 0.500 0.500 0.500  1.49
2 P 0.000 0.500 0.000  -0.07
3 P 0.500 0.000 0.000  -0.07
4 P 0.000 0.000 0.500  -0.07
5 Cu 0.000 0.000 0.000  -0.03

=====

No. 9
Sc2CrInGe | SCAN | single point on PBEsol structure

Calculated values
electronic total energy: -95.5 eV/cell
energy of formation: 373 kJ/mol of formula units
Fermi-level density of states: 3.59 states/eV/f.u.
V: 139 Å³ per cell

Cell: 4.942 5.305 5.305 Å, 90.00 90.00 90.00°
Last column: magnetic moment on the atom in μB.
Fractional coordinates of all 5 atoms:
1 Sc 0.000 0.500 0.000  0.12
2 Sc 0.000 0.000 0.500  0.12
3 Cr 0.500 0.500 0.500  4.24
4 In 0.000 0.000 0.000  0.01
5 Ge 0.500 0.000 0.000  -0.06

=====

No. 10
HgPt2Rh | SCAN | single point on PBEsol structure

Calculated values
electronic total energy: -241.9 eV/cell
energy of formation: 41 kJ/mol of formula units
Fermi-level density of states: 2.54 states/eV/f.u.
V: 63 Å³ per cell

Cell: 3.948 3.948 4.891 Å, 113.80 113.80 90.00°
Last column: magnetic moment on the atom in μB.
Fractional coordinates of all 4 atoms:
1 Pt 0.250 0.750 0.500  0.29
2 Pt 0.750 0.250 0.500  0.29
3 Hg 0.000 0.000 0.000  -0.02
4 Rh 0.500 0.500 0.000  0.92

=====

No. 11
BeCu3Bi | SCAN | single point on PBEsol structure

Calculated values
electronic total energy: -126.6 eV/cell
energy of formation: 190 kJ/mol of formula units
Fermi-level density of states: 1.66 states/eV/f.u.
V: 74 Å³ per cell

Cell: 4.202 4.202 4.202 Å, 90.00 90.00 90.00°
Fractional coordinates of all 5 atoms:
1 Be 0.000 0.000 0.000
2 Cu 0.500 0.000 0.000
3 Cu 0.000 0.000 0.500
4 Cu 0.000 0.500 0.000
5 Bi 0.500 0.500 0.500

=====

No. 12
PRuSe2 | SCAN | single point on PBEsol structure

Calculated values
electronic total energy: -84.2 eV/cell
Fermi-level density of states: 1.52 states/eV/f.u.
V: 68 Å³ per cell

Cell: 2.984 3.668 6.840 Å, 95.27 90.00 114.01°
Fractional coordinates of all 4 atoms:
1 Se 0.279 0.558 0.283
2 Se 0.721 0.442 0.717
3 P 0.500 0.000 0.000
4 Ru 0.000 0.000 0.500